Below is a geometry-optimized BaHgRh2 structure, with properties calculated at the GGA-PBEsol level.

The structure belongs to space group R-3m (No. 166, hexagonal axes); the cell edges are 4.6230, 4.6230 and 16.2498 Å and the angles 90.00°, 90.00° and 120.00°. The asymmetric unit holds Ba at (0.0000, 0.0000, 0.0000), Hg at (0.0000, 0.0000, 0.5000) and Rh at (0.0000, 0.0000, 0.1775).

=====

Below is a geometry-optimized KBe3Ru structure, with properties calculated at the GGA-PBEsol level.

The structure belongs to space group Pm-3m (No. 221); the cell edges are 4.127, 4.127 and 4.127 Å and the angles 90.00°, 90.00° and 90.00°. The asymmetric unit holds K at (0.000, 0.000, 0.000), Be at (0.000, 0.000, 0.500) and Ru at (0.500, 0.500, 0.500).

=====

Below is a geometry-optimized Ba7Ru4Br2O15 structure, with properties calculated at the GGA-PBEsol level.

For the uncorrected formation energy, the calculation gives -2.00 eV per atom.

The structure belongs to space group R-3m (No. 166, hexagonal axes); the cell edges are 5.7780, 5.7780 and 52.3901 Å and the angles 90.00°, 90.00° and 120.00°. The asymmetric unit holds Ba at (0.0000, 0.0000, 0.0000), Ba at (0.0000, 0.0000, 0.0821), Ba at (0.0000, 0.0000, 0.2088), Ba at (0.0000, 0.0000, 0.2872), Ru at (0.0000, 0.0000, 0.3538), Ru at (0.0000, 0.0000, 0.4032), Br at (0.0000, 0.0000, 0.1443), O at (0.0000, 0.5000, 0.0000), O at (0.0139, 0.5069, 0.0890) and O at (0.0233, 0.5117, 0.2893).

=====

Below is a geometry-optimized CdHg2Ir structure, with properties calculated at the GGA-PBEsol level.

For the offset from the most stable computed form, the calculation gives 0.072 eV per atom.

The structure belongs to space group P2/m (No. 10); the cell edges are 3.055, 4.804 and 5.090 Å and the angles 90.00°, 92.26° and 90.00°. The asymmetric unit holds Cd at (0.000, 0.000, 0.000), Hg at (0.265, 0.500, 0.742) and Ir at (0.500, 0.000, 0.500).

=====

Below is a geometry-optimized BaTi2P4O14 structure, with properties calculated at the GGA-PBEsol level.

For the uncorrected formation energy, the calculation gives -2.54 eV per atom.

The structure belongs to space group C2/c (No. 15); the cell edges are 10.697, 10.578 and 9.909 Å and the angles 90.00°, 102.97° and 90.00°. The asymmetric unit holds Ba at (0.250, 0.250, 0.000), Ti at (0.000, 0.000, 0.000), Ti at (0.000, 0.449, 0.250), P at (0.060, 0.313, 0.558), P at (0.221, 0.042, 0.297), O at (0.023, 0.177, 0.578), O at (0.034, 0.401, 0.891), O at (0.069, 0.340, 0.410), O at (0.138, 0.078, 0.157), O at (0.145, 0.010, 0.405), O at (0.180, 0.438, 0.205) and O at (0.199, 0.328, 0.659).

=====

Below is a geometry-optimized Cs2KFeF6 structure, with properties calculated at the GGA-PBEsol level.

For the uncorrected formation energy, the calculation gives -2.54 eV per atom.

The structure belongs to space group Fm-3m (No. 225); the cell edges are 8.840, 8.840 and 8.840 Å and the angles 90.00°, 90.00° and 90.00°. The asymmetric unit holds Cs at (0.250, 0.250, 0.250), K at (0.000, 0.000, 0.000), Fe at (0.000, 0.000, 0.500) and F at (0.000, 0.000, 0.289).

=====

Number 1: E -4.85 eV per atom, volume 25.06 Å³ per atom. Number 2: E -1.95 eV per atom, volume 14.05 Å³ per atom. Number 3: E -6.93 eV per atom, volume 18.03 Å³ per atom. Number 4: E -2.71 eV per atom, volume 18.66 Å³ per atom. Number 5: E -8.03 eV per atom, volume 13.01 Å³ per atom. Number 6: E -4.89 eV per atom, volume 17.27 Å³ per atom.